# Tl2CuIF6, optimized geometry, DFT PBE
data_Tl2CuIF6
_cell_length_a 6.618
_cell_length_b 5.996
_cell_length_c 7.019
_cell_angle_alpha 64.82
_cell_angle_beta 57.60
_cell_angle_gamma 94.79
_space_group_name_H-M_alt 'P 1'
_space_group_IT_number 1
_space_group_name_Hall 'P 1'
loop_
_atom_site_label
_atom_site_fract_x
_atom_site_fract_y
_atom_site_fract_z
I1 0.500 0.500 0.000
F1 0.257 0.144 0.637
F2 0.743 0.856 0.363
F3 0.188 0.828 0.077
F4 0.812 0.172 0.923
F5 0.234 0.407 0.941
F6 0.766 0.593 0.059
Tl1 0.741 0.254 0.502
Tl2 0.259 0.746 0.498
Cu1 0.000 0.000 0.000
# E_form (uncorrected) (eV/atom): -1.508
# DOS at the Fermi energy (states/eV per atom): 0.11

# NaMgIn2Pb, optimized geometry, DFT PBE
data_NaMgIn2Pb
_cell_length_a 5.959
_cell_length_b 5.954
_cell_length_c 8.541
_cell_angle_alpha 110.40
_cell_angle_beta 90.00
_cell_angle_gamma 90.00
_space_group_name_H-M_alt 'P 1'
_space_group_IT_number 1
_space_group_name_Hall 'P 1'
loop_
_atom_site_label
_atom_site_fract_x
_atom_site_fract_y
_atom_site_fract_z
In1 0.000 0.749 0.000
In2 0.500 0.251 0.000
In3 0.000 0.251 0.000
In4 0.500 0.749 0.000
Pb1 0.750 0.751 0.501
Pb2 0.250 0.249 0.499
Na1 0.750 0.155 0.310
Na2 0.250 0.845 0.690
Mg1 0.250 0.649 0.298
Mg2 0.750 0.351 0.702
# DOS at the Fermi energy (states/eV per atom): 0.45
# Formation energy (kJ/mol of atoms): 4.3

# AlCdAs2, optimized geometry, DFT PBE
data_AlCdAs2
_cell_length_a 2.953
_cell_length_b 2.953
_cell_length_c 9.447
_cell_angle_alpha 90.00
_cell_angle_beta 90.00
_cell_angle_gamma 101.97
_space_group_name_H-M_alt 'P 1'
_space_group_IT_number 1
_space_group_name_Hall 'P 1'
loop_
_atom_site_label
_atom_site_fract_x
_atom_site_fract_y
_atom_site_fract_z
As1 0.500 0.500 0.267
As2 0.000 0.000 0.965
Al1 0.500 0.500 0.759
Cd1 0.000 0.000 0.509
# Energy above the lowest structure with this stoichiometry (eV/atom): 0.3868
# DOS at the Fermi energy (states/eV per atom): 0.45
# Formation energy (kJ/mol of atoms): 24.0

# LaSiCl, optimized geometry, DFT PBE
data_LaSiCl
_cell_length_a 8.053
_cell_length_b 8.053
_cell_length_c 3.456
_cell_angle_alpha 77.62
_cell_angle_beta 77.62
_cell_angle_gamma 24.78
_space_group_name_H-M_alt 'P 1'
_space_group_IT_number 1
_space_group_name_Hall 'P 1'
loop_
_atom_site_label
_atom_site_fract_x
_atom_site_fract_y
_atom_site_fract_z
Cl1 0.952 0.952 0.048
La1 0.335 0.335 0.665
Si1 0.713 0.713 0.287
# E_form (uncorrected) (eV/atom): -0.702
# DOS at the Fermi energy (states/eV per atom): 0.70

# CdAsIr2, optimized geometry, DFT PBE
data_CdAsIr2
_cell_length_a 4.169
_cell_length_b 2.962
_cell_length_c 5.511
_cell_angle_alpha 76.69
_cell_angle_beta 90.00
_cell_angle_gamma 90.00
_space_group_name_H-M_alt 'P 1'
_space_group_IT_number 1
_space_group_name_Hall 'P 1'
loop_
_atom_site_label
_atom_site_fract_x
_atom_site_fract_y
_atom_site_fract_z
Ir1 0.000 0.125 0.018
Ir2 0.000 0.375 0.482
Cd1 0.500 0.750 0.750
As1 0.500 0.250 0.250
# Energy above the lowest structure with this stoichiometry (eV/atom): 0.1268
# DOS at the Fermi energy (states/eV per atom): 0.63
# Formation energy (kJ/mol of atoms): 21.0

# HoAlZnNi, optimized geometry, DFT PBE
data_HoAlZnNi
_cell_length_a 4.557
_cell_length_b 4.557
_cell_length_c 4.557
_cell_angle_alpha 60.00
_cell_angle_beta 60.00
_cell_angle_gamma 60.00
_space_group_name_H-M_alt 'P 1'
_space_group_IT_number 1
_space_group_name_Hall 'P 1'
loop_
_atom_site_label
_atom_site_fract_x
_atom_site_fract_y
_atom_site_fract_z
Ho1 0.000 0.000 0.000
Al1 0.500 0.500 0.500
Ni1 0.250 0.250 0.250
Zn1 0.750 0.750 0.750
# DOS at the Fermi energy (states/eV per atom): 0.52
# Formation energy (kJ/mol of atoms): -40.2

# BiS2F, optimized geometry, DFT PBE
data_BiS2F
_cell_length_a 6.364
_cell_length_b 6.364
_cell_length_c 6.364
_cell_angle_alpha 37.65
_cell_angle_beta 37.65
_cell_angle_gamma 37.65
_space_group_name_H-M_alt 'P 1'
_space_group_IT_number 1
_space_group_name_Hall 'P 1'
loop_
_atom_site_label
_atom_site_fract_x
_atom_site_fract_y
_atom_site_fract_z
Bi1 0.000 0.000 0.000
F1 0.500 0.500 0.500
S1 0.160 0.160 0.160
S2 0.840 0.840 0.840
# E_form (uncorrected) (eV/atom): 0.113
# Energy above the lowest structure with this stoichiometry (eV/atom): 0.8775
# DOS at the Fermi energy (states/eV per atom): 0.55

# CaAc4Pm7, optimized geometry, DFT PBE
data_CaAc4Pm7
_cell_length_a 6.739
_cell_length_b 12.817
_cell_length_c 6.804
_cell_angle_alpha 81.79
_cell_angle_beta 83.71
_cell_angle_gamma 54.46
_space_group_name_H-M_alt 'P 1'
_space_group_IT_number 1
_space_group_name_Hall 'P 1'
loop_
_atom_site_label
_atom_site_fract_x
_atom_site_fract_y
_atom_site_fract_z
Ac1 0.329 0.340 0.105
Ac2 0.454 0.776 0.401
Ac3 0.671 0.660 0.895
Ac4 0.546 0.224 0.599
Pm1 0.094 0.676 0.165
Pm2 0.906 0.324 0.835
Pm3 0.500 0.000 0.000
Pm4 0.184 0.110 0.464
Pm5 0.269 0.564 0.679
Pm6 0.816 0.890 0.536
Pm7 0.731 0.436 0.321
Ca1 0.000 0.000 0.000
# DOS at the Fermi energy (states/eV per atom): 1.70
# Formation energy (kJ/mol of atoms): 17.6

# CrCu2Pt8, optimized geometry, DFT PBE
data_CrCu2Pt8
_cell_length_a 3.925
_cell_length_b 6.188
_cell_length_c 7.276
_cell_angle_alpha 105.27
_cell_angle_beta 105.65
_cell_angle_gamma 90.00
_space_group_name_H-M_alt 'P 1'
_space_group_IT_number 1
_space_group_name_Hall 'P 1'
loop_
_atom_site_label
_atom_site_fract_x
_atom_site_fract_y
_atom_site_fract_z
Pt1 0.682 0.914 0.363
Pt2 0.318 0.086 0.637
Pt3 0.594 0.447 0.189
Pt4 0.864 0.817 0.729
Pt5 0.048 0.727 0.095
Pt6 0.952 0.273 0.905
Pt7 0.406 0.553 0.811
Pt8 0.136 0.183 0.271
Cu1 0.773 0.367 0.546
Cu2 0.227 0.633 0.454
Cr1 0.500 0.000 0.000
# DOS at the Fermi energy (states/eV per atom): 1.10
# Formation energy (kJ/mol of atoms): -15.2

# LiNbCd, optimized geometry, DFT PBE
data_LiNbCd
_cell_length_a 5.093
_cell_length_b 8.314
_cell_length_c 2.837
_cell_angle_alpha 87.67
_cell_angle_beta 84.02
_cell_angle_gamma 66.59
_space_group_name_H-M_alt 'P 1'
_space_group_IT_number 1
_space_group_name_Hall 'P 1'
loop_
_atom_site_label
_atom_site_fract_x
_atom_site_fract_y
_atom_site_fract_z
Li1 0.624 0.212 0.667
Li2 0.162 0.915 0.746
Cd1 0.673 0.889 0.220
Cd2 0.113 0.237 0.193
Nb1 0.151 0.566 0.552
Nb2 0.636 0.560 0.858
# Energy above the lowest structure with this stoichiometry (eV/atom): 0.0407
# DOS at the Fermi energy (states/eV per atom): 0.50
# Formation energy (kJ/mol of atoms): 7.1

# HfInCu2Pt, optimized geometry, DFT PBE
data_HfInCu2Pt
_cell_length_a 4.726
_cell_length_b 5.513
_cell_length_c 4.726
_cell_angle_alpha 90.00
_cell_angle_beta 90.00
_cell_angle_gamma 90.00
_space_group_name_H-M_alt 'P 1'
_space_group_IT_number 1
_space_group_name_Hall 'P 1'
loop_
_atom_site_label
_atom_site_fract_x
_atom_site_fract_y
_atom_site_fract_z
Pt1 0.500 0.500 0.500
Cu1 0.500 0.000 0.000
Cu2 0.000 0.000 0.500
In1 0.000 0.500 0.000
Hf1 0.000 0.000 0.000
# DOS at the Fermi energy (states/eV per atom): 0.53
# Formation energy (kJ/mol of atoms): 135.8

# ThUCN, optimized geometry, DFT PBE
data_ThUCN
_cell_length_a 3.456
_cell_length_b 3.456
_cell_length_c 6.573
_cell_angle_alpha 90.04
_cell_angle_beta 105.20
_cell_angle_gamma 120.01
_space_group_name_H-M_alt 'P 1'
_space_group_IT_number 1
_space_group_name_Hall 'P 1'
loop_
_atom_site_label
_atom_site_fract_x
_atom_site_fract_y
_atom_site_fract_z
Th1 0.312 0.554 0.881
N1 0.146 0.971 0.132
U1 0.968 0.382 0.365
C1 0.452 0.124 0.591
# E_form (uncorrected) (eV/atom): -0.555
# DOS at the Fermi energy (states/eV per atom): 1.48

Q: Which of these has the lowest DOS at the Fermi energy?
A: Tl2CuIF6

Q: What is the formula in the eighth record?
A: CaAc4Pm7